VASP calculation (PBE) on Cd2SbBr after structural relaxation.

* spin magnetization: 0.00 μB per cell
* volume: 222 Å³ per cell
* E_form (uncorrected): -85 meV per atom
* raw total energy: -1.991 eV/atom

a b c (Å): 4.3887 6.1268 8.2532
angles (deg): 90.00 90.00 90.00
Space group Cmmm (No. 65)
Inequivalent atoms, fractional coordinates:
Cd1 0.0000 0.0000 0.2413
Sb1 0.0000 0.5000 0.0000
Br1 0.0000 0.5000 0.5000